Computed, not measured: a relaxed KTa2In2 crystal at the GGA-PBE level of DFT.

It has space group P4/mbm (No. 127), with a = 9.053 Å, b = 9.053 Å, c = 2.922 Å, α = 90.00°, β = 90.00° and γ = 90.00°. The distinct sites, in fractional coordinates, are K at (0.000, 0.000, 0.000), Ta at (0.107, 0.393, 0.500) and In at (0.181, 0.681, 0.000).

The value obtained for the total energy is -5.622 eV per atom. The calculation puts the energy of formation at 2.2 eV per formula unit. The offset from the most stable computed form is 0.000 eV/atom.



Computed, not measured: a relaxed K2TaIn crystal at the GGA-PBE level of DFT.

It has space group I4/mmm (No. 139), with a = 4.289 Å, b = 4.289 Å, c = 12.232 Å, α = 90.00°, β = 90.00° and γ = 90.00°. The distinct sites, in fractional coordinates, are K at (0.000, 0.500, 0.250), Ta at (0.000, 0.000, 0.000) and In at (0.000, 0.000, 0.500).

The value obtained for the total energy is -3.222 eV per atom. The calculation puts the energy of formation at 3.9 eV per formula unit.



Computed, not measured: a relaxed K2Ta2In crystal at the GGA-PBE level of DFT.

It has space group I4/mmm (No. 139), with a = 4.175 Å, b = 4.175 Å, c = 16.117 Å, α = 90.00°, β = 90.00° and γ = 90.00°. The distinct sites, in fractional coordinates, are K at (0.000, 0.500, 0.250), Ta at (0.000, 0.000, 0.070) and In at (0.000, 0.000, 0.500).

The value obtained for the total energy is -4.456 eV per atom. The calculation puts the energy of formation at 6.4 eV per formula unit.



Q: Which formula does entry 2 have?
A: K2TaIn



Q: Look up the energy of formation of the first one.
A: 2.2 eV per formula unit



Q: Which of these has the highest energy of formation?
A: K2Ta2In